Record 1
The following is a DFT calculation (PBE-GGA) of a relaxed structure of Ta4Ni11.

It has space group P4_2/mnm (No. 136), with a = 9.087 Å, b = 9.087 Å, c = 4.686 Å, α = 90.00°, β = 90.00° and γ = 90.00°. Symmetry generates all atoms from Ta at (0.056, 0.268, 0.000), Ni at (0.000, 0.000, 0.000), Ni at (0.034, 0.368, 0.500), Ni at (0.099, 0.099, 0.500) and Ni at (0.181, 0.819, 0.253).

Its formation energy is -0.1034 eV/atom. The value obtained for the energy above the most stable polymorph in this dataset is 81 meV/atom.

***

Record 2
The following is a DFT calculation (PBE-GGA) of a relaxed structure of Tm2SnO4.

It has space group Fd-3m (No. 227, origin choice 2), with a = 9.588 Å, b = 9.588 Å, c = 9.588 Å, α = 90.00°, β = 90.00° and γ = 90.00°. Symmetry generates all atoms from Tm at (0.000, 0.000, 0.000), Sn at (0.125, 0.125, 0.625) and O at (0.017, 0.017, 0.233).

The value obtained for the energy above the most stable polymorph in this dataset is 0 meV/atom.

***

Record 3
The following is a DFT calculation (PBE-GGA) of a relaxed structure of KBeFeS3.

It has space group Cmcm (No. 63), with a = 3.498 Å, b = 13.984 Å, c = 9.284 Å, α = 90.00°, β = 90.00° and γ = 90.00°. Symmetry generates all atoms from K at (0.000, 0.246, 0.250), Be at (0.000, 0.028, 0.750), Fe at (0.000, 0.500, 0.000), S at (0.000, 0.104, 0.556) and S at (0.000, 0.443, 0.750).

For the total energy, the calculation gives -120.11 eV for the cell shown.

***

Record 4
The following is a DFT calculation (PBE-GGA) of a relaxed structure of LuNbAs.

It has space group F-43m (No. 216), with a = 6.368 Å, b = 6.368 Å, c = 6.368 Å, α = 90.00°, β = 90.00° and γ = 90.00°. Symmetry generates all atoms from Lu at (0.000, 0.000, 0.000), Nb at (0.000, 0.000, 0.500) and As at (0.250, 0.250, 0.250).

For the total energy, the calculation gives -80.91 eV for the cell shown.

***

| no. | M_tot (μB per formula unit) |
| --- | --- |
| 1 | 0.0 |
| 2 | 0.0 |
| 3 | 1.8 |
| 4 | 0.0 |